The following is a DFT calculation (SCAN) of a PBEsol-optimized structure of ZrSi3Pd3.

For the energy relative to the elements, uncorrected, the calculation gives -0.7897 eV/atom. The calculation puts the electronic total energy at -23.51 eV per atom.

a = 8.001 Å, b = 8.001 Å, c = 6.969 Å
α = 90.00°, β = 90.00°, γ = 152.45°
Fractional positions:
Zr1 0.012 0.988 0.750
Zr2 0.988 0.012 0.250
Si1 0.263 0.737 0.750
Si2 0.426 0.574 0.535
Si3 0.426 0.574 0.965
Si4 0.574 0.426 0.035
Si5 0.574 0.426 0.465
Si6 0.737 0.263 0.250
Pd1 0.175 0.825 0.052
Pd2 0.175 0.825 0.448
Pd3 0.339 0.661 0.250
Pd4 0.661 0.339 0.750
Pd5 0.825 0.175 0.552
Pd6 0.825 0.175 0.948

---

The following is a DFT calculation (SCAN) of a PBEsol-optimized structure of Be2TlP.

As for the energy relative to the elements: 0.155 eV/atom. Its energy relative to the lowest polymorph listed for this composition is 0 meV/atom. The calculation puts the electronic total energy at -22.71 eV per atom.

a = 3.469 Å, b = 3.502 Å, c = 5.813 Å
α = 90.00°, β = 107.41°, γ = 90.00°
Fractional positions:
Be1 0.000 0.000 0.000
Be2 0.493 0.500 0.985
Tl1 0.807 0.500 0.618
P1 0.602 0.000 0.203

---

The following is a DFT calculation (SCAN) of a PBEsol-optimized structure of Si3N4.

For the energy relative to the elements, uncorrected, the calculation gives -1.3348 eV/atom. Its energy relative to the lowest polymorph listed for this composition is 4 meV/atom. The calculation puts the electronic total energy at -10.94 eV per atom.

a = 7.773 Å, b = 7.773 Å, c = 5.634 Å
α = 90.00°, β = 90.00°, γ = 120.00°
Fractional positions:
Si1 0.082 0.512 0.000
Si2 0.086 0.832 0.293
Si3 0.168 0.253 0.293
Si4 0.253 0.168 0.793
Si5 0.429 0.918 0.000
Si6 0.488 0.571 0.000
Si7 0.512 0.082 0.500
Si8 0.571 0.488 0.500
Si9 0.747 0.914 0.293
Si10 0.832 0.086 0.793
Si11 0.914 0.747 0.793
Si12 0.918 0.429 0.500
N1 0.000 0.000 0.293
N2 0.000 0.000 0.793
N3 0.004 0.685 0.039
N4 0.045 0.389 0.273
N5 0.315 0.319 0.039
N6 0.319 0.315 0.539
N7 0.333 0.667 0.944
N8 0.344 0.955 0.273
N9 0.389 0.045 0.773
N10 0.611 0.656 0.273
N11 0.656 0.611 0.773
N12 0.667 0.333 0.444
N13 0.681 0.996 0.039
N14 0.685 0.004 0.539
N15 0.955 0.344 0.773
N16 0.996 0.681 0.539

---

The following is a DFT calculation (SCAN) of a PBEsol-optimized structure of AlReSi.

For the energy relative to the elements, uncorrected, the calculation gives -0.5434 eV/atom. The calculation puts the electronic total energy at -30.17 eV per atom.

a = 3.167 Å, b = 3.167 Å, c = 8.021 Å
α = 90.00°, β = 90.00°, γ = 90.00°
Fractional positions:
Al1 0.000 0.000 0.000
Al2 0.500 0.500 0.500
Re1 0.000 0.000 0.674
Re2 0.500 0.500 0.174
Si1 0.000 0.000 0.326
Si2 0.500 0.500 0.826

---

What is the electronic total energy in the third record?
-10.94 eV per atom

---

Among the records above, which one has the highest electronic total energy?
Si3N4